Density functional theory data (PBE) for CsRb2LiCd after structural relaxation.

a = 7.2625 Å, b = 7.2625 Å, c = 5.7090 Å
α = 90.00°, β = 90.00°, γ = 90.00°
With the nearest neighbours (Å) after each atom.
Space group P4/mmm (No. 123)
Unique sites:
1 Cs 0.0000 0.0000 0.0000 (multiplicity 1)  8 Rb 4.62, 4 Cd 5.14
2 Rb 0.0000 0.5000 0.5000 (multiplicity 2)  2 Li 3.63
3 Li 0.5000 0.5000 0.5000 (multiplicity 1)  2 Cd 2.85
4 Cd 0.5000 0.5000 0.0000 (multiplicity 1)  2 Li 2.85

The calculation puts the energy above the most stable polymorph in this dataset at 19.9 meV/atom. As for the formation energy: 0.103 eV/atom. Its total energy is -1.020 eV per atom.


Density functional theory data (PBE) for CsRbLiCd2 after structural relaxation.

a = 5.7740 Å, b = 5.7740 Å, c = 6.2484 Å
α = 90.00°, β = 90.00°, γ = 90.00°
With the nearest neighbours (Å) after each atom.
Space group P4/mmm (No. 123)
Unique sites:
1 Cs 0.0000 0.0000 0.0000 (multiplicity 1)  4 Rb 4.08, 8 Cd 4.25
2 Rb 0.5000 0.5000 0.0000 (multiplicity 1)  2 Li 3.12
3 Li 0.5000 0.5000 0.5000 (multiplicity 1)  4 Cd 2.89, 2 Rb 3.12
4 Cd 0.0000 0.5000 0.5000 (multiplicity 2)  2 Li 2.89

As for the formation energy: 0.080 eV/atom. Its total energy is -1.033 eV per atom.


Density functional theory data (PBE) for CsLiCd2S after structural relaxation.

a = 6.3669 Å, b = 6.3669 Å, c = 4.5249 Å
α = 90.00°, β = 90.00°, γ = 90.00°
With the nearest neighbours (Å) after each atom.
Space group P4/mmm (No. 123)
Unique sites:
1 Cs 0.0000 0.0000 0.0000 (multiplicity 1)  8 Cd 3.91
2 Li 0.5000 0.5000 0.0000 (multiplicity 1)  2 S 2.26
3 Cd 0.0000 0.5000 0.5000 (multiplicity 2)  2 S 3.18
4 S 0.5000 0.5000 0.5000 (multiplicity 1)  2 Li 2.26

The uncorrected formation energy is -0.21 eV per atom. Its total energy is -1.953 eV per atom.


Density functional theory data (PBE) for CsLiCdS2 after structural relaxation.

a = 13.4789 Å, b = 4.3092 Å, c = 9.8139 Å
α = 90.00°, β = 98.98°, γ = 90.00°
With the nearest neighbours (Å) after each atom.
Space group C2/m (No. 12)
Unique sites:
1 Cs 0.1558 0.0000 0.1588 (multiplicity 4)  6 S 3.53-3.85, 3 Li 3.85-3.93
2 Li 0.1805 0.0000 0.5554 (multiplicity 4)  4 S 2.48-2.57
3 Cd 0.0527 0.5000 0.6703 (multiplicity 4)  4 S 2.57-2.68
4 S 0.1223 0.0000 0.7925 (multiplicity 4)  1 Li 2.57, 2 Cd 2.57
5 S 0.1336 0.5000 0.4378 (multiplicity 4)  3 Li 2.48-2.50, 2 Cd 2.57-2.68

The uncorrected formation energy is -1.04 eV per atom. Its total energy is -3.432 eV per atom.


What did the fourth record say?
Density functional theory data (PBE) for CsLiCdS2 after structural relaxation.

a = 13.4789 Å, b = 4.3092 Å, c = 9.8139 Å
α = 90.00°, β = 98.98°, γ = 90.00°
With the nearest neighbours (Å) after each atom.
Space group C2/m (No. 12)
Unique sites:
1 Cs 0.1558 0.0000 0.1588 (multiplicity 4)  6 S 3.53-3.85, 3 Li 3.85-3.93
2 Li 0.1805 0.0000 0.5554 (multiplicity 4)  4 S 2.48-2.57
3 Cd 0.0527 0.5000 0.6703 (multiplicity 4)  4 S 2.57-2.68
4 S 0.1223 0.0000 0.7925 (multiplicity 4)  1 Li 2.57, 2 Cd 2.57
5 S 0.1336 0.5000 0.4378 (multiplicity 4)  3 Li 2.48-2.50, 2 Cd 2.57-2.68

The uncorrected formation energy is -1.04 eV per atom. Its total energy is -3.432 eV per atom.


> Which formula does entry 2 have?

CsRbLiCd2